w:
VASP calculation (PBE) on crystalline BaSc2Os at its relaxed geometry.

Output
crystal system = orthorhombic
calculated volume = 29.1 Å³ per atom

The structure in POSCAR format:
```
BaSc2Os
1.0
-5.659 -2.713 5.437
-0.905 -1.548 8.108
1.763 4.469 -6.773
Ba Sc Os
1 2 1
direct
0.580 0.580 0.000
0.895 0.895 0.000
0.261 0.761 0.500
0.765 0.265 0.500
```

x:
VASP calculation (PBE) on crystalline BaSc2Os at its relaxed geometry.

Output
crystal system = tetragonal
calculated volume = 42.4 Å³ per atom

The structure in POSCAR format:
```
BaSc2Os
1.0
-3.600 -5.982 3.206
4.740 0.381 6.034
-3.062 0.793 7.247
Os Ba Sc
2 2 4
direct
0.750 0.250 0.500
0.000 0.000 0.000
0.250 0.750 0.500
0.500 0.500 0.000
0.875 0.125 0.750
0.875 0.625 0.250
0.375 0.125 0.750
0.875 0.125 0.250
```

y:
VASP calculation (PBE) on crystalline BaSc2Os at its relaxed geometry.

Output
crystal system = orthorhombic
calculated volume = 27.5 Å³ per atom

The structure in POSCAR format:
```
BaSc2Os
1.0
-0.025 -5.089 -3.850
-2.502 -5.302 2.520
-0.829 6.034 -1.905
Os Sc Ba
1 2 1
direct
0.750 0.250 0.500
0.568 0.568 0.000
0.932 0.932 0.000
0.250 0.750 0.500
```

z:
VASP calculation (PBE) on crystalline BaSc2Os at its relaxed geometry.

Output
crystal system = orthorhombic
calculated volume = 27.7 Å³ per atom

The structure in POSCAR format:
```
BaSc2Os
1.0
3.531 0.000 0.000
0.000 3.907 0.000
0.000 0.000 8.023
Os Ba Sc
1 1 2
direct
0.500 0.500 0.851
0.000 0.000 0.538
0.000 0.000 0.944
0.500 0.500 0.166
```

In terms of stability, w leads; the second structure lies 30 meV/atom higher.